Entry 1:
{
  "formula": "CdCu2Pt",
  "functional": "meta-GGA SCAN",
  "state": "PBEsol geometry",
  "cell": [[2.875, 0.000, 0.000], [0.000, 4.438, -0.256], [-1.438, -1.531, 4.489]],
  "species": ["Cd", "Cu", "Cu", "Pt"],
  "frac_coords": [[0.260, 0.792, 0.520], [0.015, 0.976, 0.031], [0.737, 0.280, 0.475], [0.487, 0.452, 0.975]],
  "spacegroup": "Cm, No. 8",
  "e_tot_ev_per_atom": -32.865,
  "e_form_ev_per_atom": -0.1134,
  "crystal_system": "monoclinic"
}

Entry 2:
{
  "formula": "Hf3SbH",
  "functional": "meta-GGA SCAN",
  "state": "PBEsol geometry",
  "cell": [[-2.725, 3.284, 0.928], [-1.917, -2.456, 3.060], [2.823, 1.502, 2.974]],
  "species": ["Sb", "Hf", "Hf", "Hf", "H"],
  "frac_coords": [[0.500, 0.500, 0.500], [0.000, 0.500, 0.000], [0.000, 0.000, 0.500], [0.500, 0.000, 0.000], [0.000, 0.000, 0.000]],
  "spacegroup": "Pm-3m, No. 221",
  "e_tot_ev_per_atom": -46.134,
  "crystal_system": "cubic"
}

Entry 3:
{
  "formula": "SrCdAg2",
  "functional": "meta-GGA SCAN",
  "state": "PBEsol geometry",
  "cell": [[-0.501, 2.903, -3.720], [-2.781, -1.257, -3.633], [-5.057, 2.769, -0.185]],
  "species": ["Sr", "Ag", "Ag", "Cd"],
  "frac_coords": [[0.000, 0.000, 0.000], [0.795, 0.795, 0.615], [0.205, 0.205, 0.385], [0.500, 0.500, 0.500]],
  "spacegroup": "R-3m, No. 166",
  "e_tot_ev_per_atom": -29.111,
  "e_form_ev_per_atom": -0.2549,
  "crystal_system": "trigonal"
}

Entry 4:
{
  "formula": "Hg2C",
  "functional": "meta-GGA SCAN",
  "state": "PBEsol geometry",
  "cell": [[-0.639, -1.554, 2.632], [3.495, -2.164, -0.430], [2.038, 2.858, 2.182]],
  "species": ["C", "Hg", "Hg"],
  "frac_coords": [[0.500, 0.000, 0.000], [0.000, 0.000, 0.500], [0.000, 0.500, 0.000]],
  "spacegroup": "P4/mmm, No. 123",
  "e_tot_ev_per_atom": -47.099,
  "e_form_ev_per_atom": 1.7114,
  "crystal_system": "tetragonal"
}

Entry 5:
{
  "formula": "TeRuW",
  "functional": "meta-GGA SCAN",
  "state": "PBEsol geometry",
  "cell": [[2.967, 0.000, 0.000], [0.000, 4.401, 0.000], [0.000, -2.200, 3.811]],
  "species": ["Ru", "Te", "W"],
  "frac_coords": [[0.909, 0.000, 0.000], [0.707, 0.333, 0.667], [0.384, 0.667, 0.333]],
  "spacegroup": "P3m1, No. 156",
  "e_tot_ev_per_atom": -46.584,
  "crystal_system": "trigonal",
  "e_form_raw_kj_per_mol_atoms": 64.8
}

Entry 6:
{
  "formula": "RbPd3N",
  "functional": "meta-GGA SCAN",
  "state": "PBEsol geometry",
  "cell": [[5.058, 0.000, 0.000], [0.000, 5.058, 0.000], [0.000, 0.000, 5.058]],
  "species": ["Rb", "Pd", "Pd", "Pd", "N"],
  "frac_coords": [[0.000, 0.000, 0.000], [0.000, 0.500, 0.000], [0.000, 0.000, 0.500], [0.500, 0.000, 0.000], [0.500, 0.500, 0.500]],
  "spacegroup": "Pm-3m, No. 221",
  "e_tot_ev_per_atom": -23.196,
  "crystal_system": "cubic",
  "e_form_raw_kj_per_mol_atoms": 238.8
}